AgOs2W | GGA-PBE | optimized geometry

```
12
Lattice="2.771 0.000 0.000 -1.385 2.400 0.000 0.000 0.000 28.185" Properties=species:S:1:pos:R:3 pbc="T T T"
Ag 0.000 0.000 0.000
Ag 0.000 1.600 18.790
Ag 1.385 0.800 9.395
Os 0.000 0.000 6.905
Os 0.000 0.000 21.280
Os 0.000 1.600 11.885
Os 0.000 1.600 25.695
Os 1.385 0.800 2.490
Os 1.385 0.800 16.300
W 0.000 0.000 14.092
W 0.000 1.600 4.697
W 1.385 0.800 23.487
```

Summary:
The value obtained for the calculated total energy is -9.27 eV/atom. The calculation puts the density of states at the Fermi level at 0.44 states/eV/atom. The space group is R-3m, No. 166. As for the formation energy: 0.29 eV per atom. Its crystal system is trigonal.